Here is a relaxed K3HfV2O8 crystal from Alexandria via LeMat-Bulk. Energies are from PBE+U.

Cell lengths 5.8598, 5.8598, 7.6128 Å; angles 90.00, 90.00, 120.00 degrees
Fractional coordinates of all 14 atoms:
K1 0.0000 0.0000 0.0000
K2 0.3333 0.6667 0.6903
K3 0.6667 0.3333 0.3097
Hf1 0.0000 0.0000 0.5000
V1 0.3333 0.6667 0.2527
V2 0.6667 0.3333 0.7473
O1 0.1675 0.3351 0.3401
O2 0.1675 0.8325 0.3401
O3 0.3333 0.6667 0.0312
O4 0.3351 0.1675 0.6599
O5 0.6649 0.8325 0.3401
O6 0.6667 0.3333 0.9688
O7 0.8325 0.1675 0.6599
O8 0.8325 0.6649 0.6599

## Properties
crystal system: trigonal
space-group type: No. 164
uncorrected energy: -7.13 eV/atom